[1]
A geometry-optimized Ac3Ga4Pd2 structure, computed with PBE.

Structure (CIF):
```
data_Ac3Ga4Pd2
_symmetry_space_group_name_H-M 'C 1 2/m 1'
_symmetry_Int_Tables_number 12
_cell_length_a 11.344
_cell_length_b 4.455
_cell_length_c 9.466
_cell_angle_alpha 90.00
_cell_angle_beta 108.65
_cell_angle_gamma 90.00
loop_
_symmetry_equiv_pos_as_xyz
'x,y,z'
'-x,-y,-z'
'-x,y,-z'
'x,-y,z'
'x+1/2,y+1/2,z'
'-x+1/2,-y+1/2,-z'
'-x+1/2,y+1/2,-z'
'x+1/2,-y+1/2,z'
loop_
_atom_site_label
_atom_site_fract_x
_atom_site_fract_y
_atom_site_fract_z
Ac1 0.000 0.000 0.000
Ac2 0.110 0.500 0.693
Ga1 0.140 0.000 0.431
Ga2 0.226 0.500 0.062
Pd1 0.169 0.500 0.307
```

V ... 25.183 Å³/atom
Crystal system ... monoclinic
ΔE_f ... -597 kJ/mol of formula units
Total energy ... -4.556 eV/atom
M_tot ... 0.00 μB per cell


[2]
A geometry-optimized Rb2BaGeW structure, computed with PBE.

Structure (CIF):
```
data_Rb2BaGeW
_symmetry_space_group_name_H-M 'P 4/m m m'
_symmetry_Int_Tables_number 123
_symmetry_space_group_name_Hall '-P 4 2'
_cell_length_a 7.516
_cell_length_b 7.516
_cell_length_c 5.623
_cell_angle_alpha 90.00
_cell_angle_beta 90.00
_cell_angle_gamma 90.00
loop_
_atom_site_label
_atom_site_fract_x
_atom_site_fract_y
_atom_site_fract_z
Rb1 0.000 0.500 0.000
Ba1 0.000 0.000 0.000
Ge1 0.000 0.000 0.500
W1 0.500 0.500 0.500
```

V ... 63.533 Å³/atom
Crystal system ... tetragonal
ΔE_f ... 887 kJ/mol of formula units
Total energy ... -2.447 eV/atom
M_tot ... 5.10 μB per cell


What did the second record say?
A geometry-optimized Rb2BaGeW structure, computed with PBE.

Structure (CIF):
```
data_Rb2BaGeW
_symmetry_space_group_name_H-M 'P 4/m m m'
_symmetry_Int_Tables_number 123
_symmetry_space_group_name_Hall '-P 4 2'
_cell_length_a 7.516
_cell_length_b 7.516
_cell_length_c 5.623
_cell_angle_alpha 90.00
_cell_angle_beta 90.00
_cell_angle_gamma 90.00
loop_
_atom_site_label
_atom_site_fract_x
_atom_site_fract_y
_atom_site_fract_z
Rb1 0.000 0.500 0.000
Ba1 0.000 0.000 0.000
Ge1 0.000 0.000 0.500
W1 0.500 0.500 0.500
```

V ... 63.533 Å³/atom
Crystal system ... tetragonal
ΔE_f ... 887 kJ/mol of formula units
Total energy ... -2.447 eV/atom
M_tot ... 5.10 μB per cell


Q: V of number 2 (Rb2BaGeW)?
A: 63.533 Å³/atom